Here is a relaxed structure of LiIn3Pd from the Alexandria database. Energies are from GGA-PBE.

Cell lengths 5.1860, 5.1860, 5.1860 Å; angles 90.00, 90.00, 90.00 degrees
Atoms (fractional coordinates):
In (0.5000, 0.0000, 0.0000)
In (0.0000, 0.0000, 0.5000)
In (0.0000, 0.5000, 0.0000)
Pd (0.0000, 0.0000, 0.0000)
Li (0.5000, 0.5000, 0.5000)

Values from the calculation:
Space group: No. 221
DFT formation energy, eV per atom: -0.09
Distance to the lowest polymorph of the same formula, meV per atom: 211
Spin magnetization, μB per cell: 0.00
DOS at the Fermi energy, states/eV/atom: 0.5520
ρ, g/cm3: 5.45

***

Here is a relaxed structure of CaCuPd3 from the Alexandria database. Energies are from GGA-PBE.

Cell lengths 4.6811, 4.6811, 4.6811 Å; angles 90.00, 90.00, 90.00 degrees
Atoms (fractional coordinates):
Pd (0.5000, 0.0000, 0.0000)
Pd (0.0000, 0.5000, 0.0000)
Pd (0.0000, 0.0000, 0.5000)
Ca (0.5000, 0.5000, 0.5000)
Cu (0.0000, 0.0000, 0.0000)

Values from the calculation:
Space group: No. 221
DFT formation energy, eV per atom: -0.01
Distance to the lowest polymorph of the same formula, meV per atom: 344
Spin magnetization, μB per cell: 0.00
DOS at the Fermi energy, states/eV/atom: 0.8672
ρ, g/cm3: 6.85

***

Here is a relaxed structure of RbScNi2Ir from the Alexandria database. Energies are from GGA-PBE.

Cell lengths 4.5039, 5.1306, 4.5039 Å; angles 90.00, 90.00, 90.00 degrees
Atoms (fractional coordinates):
Rb (0.0000, 0.0000, 0.0000)
Ir (0.0000, 0.5000, 0.0000)
Ni (0.5000, 0.0000, 0.0000)
Ni (0.0000, 0.0000, 0.5000)
Sc (0.5000, 0.5000, 0.5000)

Values from the calculation:
Space group: No. 123
DFT formation energy, eV per atom: 1.90
Spin magnetization, μB per cell: 0.00
DOS at the Fermi energy, states/eV/atom: 1.5403
ρ, g/cm3: 7.02

***

Here is a relaxed structure of SrNd2Tm from the Alexandria database. Energies are from GGA-PBE.

Cell lengths 3.7195, 3.7195, 12.5446 Å; angles 81.47, 81.47, 60.00 degrees
Atoms (fractional coordinates):
Nd (0.2574, 0.2574, 0.2278)
Nd (0.0761, 0.0761, 0.7718)
Tm (0.6665, 0.6665, 0.0004)
Sr (0.5000, 0.5000, 0.5001)

Values from the calculation:
Space group: No. 160
DFT formation energy, eV per atom: 0.10
Distance to the lowest polymorph of the same formula, meV per atom: 0
Spin magnetization, μB per cell: 0.00
DOS at the Fermi energy, states/eV/atom: 1.3161
ρ, g/cm3: 6.11

***

Here is a relaxed structure of Zn2ReSi from the Alexandria database. Energies are from GGA-PBE.

Cell lengths 3.2392, 3.2476, 5.3953 Å; angles 90.01, 90.00, 90.00 degrees
Atoms (fractional coordinates):
Re (0.0000, 0.3751, 0.5245)
Zn (0.0000, 0.3749, 0.0120)
Zn (0.5000, 0.8750, 0.2397)
Si (0.5000, 0.8751, 0.7238)

Values from the calculation:
Space group: No. 99
Formation energy (no corrections), meV/atom: 0
Spin magnetization, μB per cell: 0.00
DOS at the Fermi energy, states/eV/atom: 0.5549
ρ, g/cm3: 10.10

***

Here is a relaxed structure of LaFeN from the Alexandria database. Energies are from GGA-PBE.

Cell lengths 3.4830, 5.8687, 5.2493 Å; angles 110.09, 109.38, 90.00 degrees
Atoms (fractional coordinates):
Fe (0.8160, 0.1230, 0.6319)
Fe (0.1840, 0.8770, 0.3681)
La (0.4067, 0.6825, 0.8133)
La (0.5933, 0.3175, 0.1867)
N (0.2770, 0.2223, 0.5540)
N (0.7230, 0.7777, 0.4460)

Values from the calculation:
Space group: No. 12
Formation energy (no corrections), meV/atom: -527
Spin magnetization, μB per cell: 0.00
DOS at the Fermi energy, states/eV/atom: 0.4995
ρ, g/cm3: 7.35

***

Q: Number 3 is which compound?
A: RbScNi2Ir